No. 1
DFT (GGA-PBE) results for AlMoBr after structural relaxation.

Calculated values
The density of states at the Fermi level is 2.6 states/eV/f.u. The energy relative to the elements, uncorrected is 0.273 eV/atom. The relative energy among the computed polymorphs is 0 meV per atom. Its total magnetization is 0.0 μB/f.u.

a b c (Å): 3.188 3.188 6.226
angles (deg): 90.00 90.00 120.00
Positions (direct):
Mo: 0.667 0.333 0.668
Al: 0.000 0.000 0.972
Br: 0.333 0.667 0.360

No. 2
DFT (GGA-PBE) results for NdEr2Tm5 after structural relaxation.

Calculated values
The density of states at the Fermi level is 12.2 states/eV/f.u. The calculation puts the formation energy at 0.195 eV per atom. Its total magnetization is 0.0 μB/f.u.

a b c (Å): 8.720 8.394 11.066
angles (deg): 90.02 90.03 38.86
Positions (direct):
Nd: 0.505 0.841 0.750
Nd: 0.495 0.159 0.250
Er: 0.884 0.579 0.384
Er: 0.885 0.579 0.116
Er: 0.116 0.421 0.616
Er: 0.115 0.421 0.884
Tm: 0.669 0.042 0.923
Tm: 0.670 0.041 0.578
Tm: 0.199 0.682 0.425
Tm: 0.199 0.682 0.075
Tm: 0.770 0.313 0.250
Tm: 0.230 0.687 0.750
Tm: 0.801 0.318 0.575
Tm: 0.801 0.318 0.925
Tm: 0.331 0.958 0.077
Tm: 0.330 0.959 0.422

No. 3
DFT (GGA-PBE) results for TlBr2Cl after structural relaxation.

Calculated values
The density of states at the Fermi level is 4.4 states/eV/f.u. The energy relative to the elements, uncorrected is -0.059 eV/atom. The relative energy among the computed polymorphs is 445 meV per atom. Its total magnetization is 2.0 μB/f.u.

a b c (Å): 5.257 5.257 4.329
angles (deg): 90.00 90.00 90.00
Last column: magnetic moment on the atom in μB.
Positions (direct):
Tl: 0.000 0.500 0.500  0.05
Br: 0.000 0.000 0.000  0.49
Br: 0.500 0.500 0.000  0.49
Cl: 0.500 0.000 0.500  0.57

No. 4
DFT (GGA-PBE) results for TaTlAs2 after structural relaxation.

Calculated values
The density of states at the Fermi level is 1.8 states/eV/f.u. The calculation puts the formation energy at 0.205 eV per atom. The relative energy among the computed polymorphs is 346 meV per atom. Its total magnetization is 0.0 μB/f.u.

a b c (Å): 3.414 3.414 7.448
angles (deg): 90.00 90.00 90.00
Positions (direct):
Tl: 0.500 0.500 0.728
As: 0.000 0.000 0.053
As: 0.500 0.500 0.295
Ta: 0.000 0.000 0.423